(1)
A relaxed structure of CaAlPt2. Source: Alexandria via LeMat-Bulk, functional PBE.

Space group = Pmm2 (25)
Formation energy = -66 kJ/mol of atoms
E = -20.57 eV per cell

a b c (Å): 2.9436 4.1438 6.0219
angles (deg): 90.00 90.00 90.00
Sites, in units of the cell vectors:
1 Ca 0.0000 0.0000 0.0000
2 Al 0.5000 0.5000 0.6372
3 Pt 0.0000 0.0000 0.5228
4 Pt 0.5000 0.5000 0.2216

(2)
A relaxed structure of CaAl2Pt. Source: Alexandria via LeMat-Bulk, functional PBE.

Space group = Immm (71)
Formation energy = -49 kJ/mol of atoms
E = -17.57 eV per cell

a b c (Å): 5.8906 5.8906 5.8906
angles (deg): 150.08 128.97 60.29
Sites, in units of the cell vectors:
1 Ca 0.0000 0.0000 0.0000
2 Al 0.2907 0.7907 0.5000
3 Al 0.7093 0.2093 0.5000
4 Pt 0.5000 0.5000 0.0000

(3)
A relaxed structure of CaAlPt2. Source: Alexandria via LeMat-Bulk, functional PBE.

Space group = P4mm (99)
Formation energy = -50 kJ/mol of atoms
E = -19.91 eV per cell

a b c (Å): 3.0853 3.0853 7.8052
angles (deg): 90.00 90.00 90.00
Sites, in units of the cell vectors:
1 Ca 0.0000 0.0000 0.0000
2 Al 0.5000 0.5000 0.6760
3 Pt 0.0000 0.0000 0.5028
4 Pt 0.5000 0.5000 0.2575